1.
The following is a DFT calculation (PBE) of a relaxed structure of Zn2SiTcF.

Unit cell a=4.9240 b=4.9240 c=3.8899 alpha=90.00 beta=90.00 gamma=90.00
With the nearest neighbours (Å) after each atom.
Space group P4/mmm (No. 123)
Symmetry-distinct sites (fractional):
Zn: 0.0000 0.5000 0.0000 [2 per cell]  2 Tc 2.46
Si: 0.0000 0.0000 0.5000 [1 per cell]  8 Zn 3.14, 4 F 3.48
Tc: 0.5000 0.5000 0.0000 [1 per cell]  2 F 1.94
F: 0.5000 0.5000 0.5000 [1 per cell]  2 Tc 1.94

Formation energy (no corrections) (eV per atom): 0.39

2.
The following is a DFT calculation (PBE) of a relaxed structure of Si2TeF.

Unit cell a=6.6380 b=6.6380 c=6.6380 alpha=90.00 beta=90.00 gamma=90.00
With the nearest neighbours (Å) after each atom.
Space group Fm-3m (No. 225)
Symmetry-distinct sites (fractional):
Si: 0.2500 0.2500 0.2500 [8 per cell]  4 F 2.87, 4 Te 2.87
Te: 0.0000 0.0000 0.0000 [4 per cell]  8 Si 2.87
F: 0.0000 0.0000 0.5000 [4 per cell]  8 Si 2.87

Distance to the lowest polymorph of the same formula (meV per atom): 252
Formation energy (no corrections) (eV per atom): 0.00

3.
The following is a DFT calculation (PBE) of a relaxed structure of SiTe2F.

Unit cell a=7.1933 b=7.1933 c=6.9569 alpha=90.00 beta=90.00 gamma=90.00
With the nearest neighbours (Å) after each atom.
Space group I-42d (No. 122)
Symmetry-distinct sites (fractional):
Si: 0.0000 0.0000 0.0000 [4 per cell]  4 Te 2.62
Te: 0.2356 0.7500 0.1250 [8 per cell]  2 Si 2.62, 2 F 2.76
F: 0.0000 0.0000 0.5000 [4 per cell]  4 Te 2.76

Distance to the lowest polymorph of the same formula (meV per atom): 10
Formation energy (no corrections) (eV per atom): -0.34

4.
The following is a DFT calculation (PBE) of a relaxed structure of SiTeF2.

Unit cell a=6.3070 b=6.3070 c=6.3070 alpha=90.00 beta=90.00 gamma=90.00
With the nearest neighbours (Å) after each atom.
Space group Fm-3m (No. 225)
Symmetry-distinct sites (fractional):
Si: 0.0000 0.0000 0.0000 [4 per cell]  8 F 2.73
Te: 0.0000 0.0000 0.5000 [4 per cell]  8 F 2.73
F: 0.2500 0.2500 0.2500 [8 per cell]  4 Te 2.73, 4 Si 2.73

Distance to the lowest polymorph of the same formula (meV per atom): 876
Formation energy (no corrections) (eV per atom): -0.42

5.
The following is a DFT calculation (PBE) of a relaxed structure of SiTe2F.

Unit cell a=3.8865 b=3.8865 c=23.5589 alpha=90.00 beta=90.00 gamma=120.00
With the nearest neighbours (Å) after each atom.
Space group R-3m (No. 166, hexagonal axes)
Symmetry-distinct sites (fractional):
Si: 0.0000 0.0000 0.0000 [3 per cell]  6 Te 2.76
Te: 0.0000 0.0000 0.4018 [6 per cell]  1 F 2.31
F: 0.0000 0.0000 0.5000 [3 per cell]  2 Te 2.31

Distance to the lowest polymorph of the same formula (meV per atom): 0
Formation energy (no corrections) (eV per atom): -0.35

6.
The following is a DFT calculation (PBE) of a relaxed structure of SiTeF2.

Unit cell a=3.3242 b=3.3242 c=27.0619 alpha=90.00 beta=90.00 gamma=120.00
With the nearest neighbours (Å) after each atom.
Space group R-3m (No. 166, hexagonal axes)
Symmetry-distinct sites (fractional):
Si: 0.0000 0.0000 0.0000 [3 per cell]  6 F 2.20
Te: 0.0000 0.0000 0.5000 [3 per cell]  6 Te 3.32
F: 0.0000 0.0000 0.2934 [6 per cell]  3 Si 2.20

Distance to the lowest polymorph of the same formula (meV per atom): 275
Formation energy (no corrections) (eV per atom): -1.02

7.
The following is a DFT calculation (PBE) of a relaxed structure of SiTe2F.

Unit cell a=6.7975 b=6.7975 c=6.7975 alpha=90.00 beta=90.00 gamma=90.00
With the nearest neighbours (Å) after each atom.
Space group Fm-3m (No. 225)
Symmetry-distinct sites (fractional):
Si: 0.0000 0.0000 0.0000 [4 per cell]  8 Te 2.94
Te: 0.2500 0.2500 0.2500 [8 per cell]  4 F 2.94, 4 Si 2.94
F: 0.0000 0.0000 0.5000 [4 per cell]  8 Te 2.94

Distance to the lowest polymorph of the same formula (meV per atom): 168
Formation energy (no corrections) (eV per atom): -0.18

8.
The following is a DFT calculation (PBE) of a relaxed structure of Si2TeF.

Unit cell a=4.5154 b=4.5154 c=15.7041 alpha=90.00 beta=90.00 gamma=90.00
With the nearest neighbours (Å) after each atom.
Space group I-42d (No. 122)
Symmetry-distinct sites (fractional):
Si: 0.1260 0.2500 0.1250 [8 per cell]  2 F 2.33, 2 Si 2.53
Te: 0.0000 0.0000 0.5000 [4 per cell]  4 Si 2.82
F: 0.0000 0.0000 0.0000 [4 per cell]  4 Si 2.33

Distance to the lowest polymorph of the same formula (meV per atom): 0
Formation energy (no corrections) (eV per atom): -0.26

9.
The following is a DFT calculation (PBE) of a relaxed structure of Si3TeF.

Unit cell a=5.3117 b=5.3117 c=5.3117 alpha=90.00 beta=90.00 gamma=90.00
With the nearest neighbours (Å) after each atom.
Space group Pm-3m (No. 221)
Symmetry-distinct sites (fractional):
Si: 0.0000 0.0000 0.5000 [3 per cell]  2 Te 2.66
Te: 0.0000 0.0000 0.0000 [1 per cell]  6 Si 2.66
F: 0.5000 0.5000 0.5000 [1 per cell]  12 Si 3.76

Distance to the lowest polymorph of the same formula (meV per atom): 724
Formation energy (no corrections) (eV per atom): 1.19

10.
The following is a DFT calculation (PBE) of a relaxed structure of SiTeF2.

Unit cell a=6.2526 b=6.2526 c=9.0068 alpha=90.00 beta=90.00 gamma=90.00
With the nearest neighbours (Å) after each atom.
Space group I4_1/amd (No. 141, origin choice 2)
Symmetry-distinct sites (fractional):
Si: 0.0000 0.2500 0.3750 [4 per cell]  4 F 1.93
Te: 0.0000 0.2500 0.8750 [4 per cell]  12 F 3.67-3.72, 4 Te 3.85, 4 Si 3.85
F: 0.0000 0.0000 0.5000 [8 per cell]  2 Si 1.93

Distance to the lowest polymorph of the same formula (meV per atom): 401
Formation energy (no corrections) (eV per atom): -0.89

11.
The following is a DFT calculation (PBE) of a relaxed structure of SiTeF2.

Unit cell a=3.0205 b=3.0205 c=29.7546 alpha=90.00 beta=90.00 gamma=120.00
With the nearest neighbours (Å) after each atom.
Space group R-3m (No. 166, hexagonal axes)
Symmetry-distinct sites (fractional):
Si: 0.0000 0.0000 0.0000 [3 per cell]  2 F 1.64
Te: 0.0000 0.0000 0.5000 [3 per cell]  6 Te 3.02
F: 0.0000 0.0000 0.0552 [6 per cell]  1 Si 1.64

Distance to the lowest polymorph of the same formula (meV per atom): 0
Formation energy (no corrections) (eV per atom): -1.29

12.
The following is a DFT calculation (PBE) of a relaxed structure of Si3TeF.

Unit cell a=4.5798 b=4.5798 c=4.5798 alpha=90.00 beta=90.00 gamma=90.00
With the nearest neighbours (Å) after each atom.
Space group Pm-3m (No. 221)
Symmetry-distinct sites (fractional):
Si: 0.0000 0.0000 0.5000 [3 per cell]  2 F 2.29
Te: 0.5000 0.5000 0.5000 [1 per cell]  12 Si 3.24
F: 0.0000 0.0000 0.0000 [1 per cell]  6 Si 2.29

Distance to the lowest polymorph of the same formula (meV per atom): 0
Formation energy (no corrections) (eV per atom): 0.47

13.
The following is a DFT calculation (PBE) of a relaxed structure of SiTe2F.

Unit cell a=3.1589 b=3.1589 c=28.8529 alpha=90.00 beta=90.00 gamma=120.00
With the nearest neighbours (Å) after each atom.
Space group R-3m (No. 166, hexagonal axes)
Symmetry-distinct sites (fractional):
Si: 0.0000 0.0000 0.0000 [3 per cell]  2 Te 2.69
Te: 0.0000 0.0000 0.0934 [6 per cell]  1 Si 2.69, 3 F 2.79
F: 0.0000 0.0000 0.5000 [3 per cell]  6 Te 2.79

Distance to the lowest polymorph of the same formula (meV per atom): 215
Formation energy (no corrections) (eV per atom): -0.13

14.
The following is a DFT calculation (PBE) of a relaxed structure of TiSiF2.

Unit cell a=2.7065 b=2.7065 c=29.8208 alpha=90.00 beta=90.00 gamma=120.00
With the nearest neighbours (Å) after each atom.
Space group R-3m (No. 166, hexagonal axes)
Symmetry-distinct sites (fractional):
Ti: 0.0000 0.0000 0.0000 [3 per cell]  6 F 2.10
Si: 0.0000 0.0000 0.5000 [3 per cell]  6 Si 2.71
F: 0.0000 0.0000 0.3802 [6 per cell]  3 Ti 2.10

Distance to the lowest polymorph of the same formula (meV per atom): 0
Formation energy (no corrections) (eV per atom): -1.73

Computed spin magnetization, in the same sequence as the records: 0.00; 0.00; 0.00; 0.00; 0.00; 0.00; 0.00; 0.00; 0.00; 0.00; 0.00; 0.00; 0.00; 0.00 μB/f.u..